Record 1
Material: Al2CdSe4
Method: DFT, GGA-PBE
State: relaxed

The structure in CIF format:
```
data_Al2CdSe4
_chemical_formula_sum 'Al2 Cd1 Se4'
_space_group_name_H-M_alt 'P 1'
_space_group_IT_number 1
_space_group_name_Hall 'P 1'
_cell_length_a 5.846
_cell_length_b 5.859
_cell_length_c 6.805
_cell_angle_alpha 64.57
_cell_angle_beta 64.61
_cell_angle_gamma 89.94
loop_
_atom_site_label
_atom_site_fract_x
_atom_site_fract_y
_atom_site_fract_z
_atom_site_occupancy
Al1 0.000 0.000 0.000 1
Al2 0.251 0.750 0.500 1
Cd1 0.501 0.499 0.000 1
Se1 0.092 0.630 0.275 1
Se2 0.371 0.365 0.724 1
Se3 0.634 0.095 0.277 1
Se4 0.904 0.909 0.724 1
```

Output
Raw total energy   -4.009 eV/atom

Record 2
Material: Ac3Zr2N6
Method: DFT, GGA-PBE
State: relaxed

The structure in CIF format:
```
data_Ac3Zr2N6
_chemical_formula_sum 'Ac6 Zr4 N12'
_space_group_name_H-M_alt 'I 4/m m m'
_space_group_IT_number 139
_space_group_name_Hall '-I 4 2'
_cell_length_a 4.216
_cell_length_b 4.216
_cell_length_c 21.411
_cell_angle_alpha 90.00
_cell_angle_beta 90.00
_cell_angle_gamma 90.00
loop_
_atom_site_label
_atom_site_fract_x
_atom_site_fract_y
_atom_site_fract_z
_atom_site_occupancy
Ac1 0.000 0.000 0.000 1
Ac2 0.000 0.000 0.184 1
Zr1 0.000 0.000 0.398 1
N1 0.000 0.000 0.301 1
N2 0.000 0.500 0.081 1
```

Output
Raw total energy   -8.458 eV/atom

Record 3
Material: PrScAg
Method: DFT, GGA-PBE
State: relaxed

The structure in CIF format:
```
data_PrScAg
_chemical_formula_sum 'Pr4 Sc4 Ag4'
_space_group_name_H-M_alt 'F -4 3 m'
_space_group_IT_number 216
_space_group_name_Hall 'F -4 2 3'
_cell_length_a 6.965
_cell_length_b 6.965
_cell_length_c 6.965
_cell_angle_alpha 90.00
_cell_angle_beta 90.00
_cell_angle_gamma 90.00
loop_
_atom_site_label
_atom_site_fract_x
_atom_site_fract_y
_atom_site_fract_z
_atom_site_occupancy
Pr1 0.000 0.000 0.000 1
Sc1 0.250 0.250 0.250 1
Ag1 0.250 0.250 0.750 1
```

Output
Energy above the most stable polymorph in this dataset   192 meV per atom
ΔE_f   13.9 kcal/mol of atoms

Record 4
Material: AgMo6N6
Method: DFT, GGA-PBE
State: relaxed

The structure in CIF format:
```
data_AgMo6N6
_chemical_formula_sum 'Ag2 Mo12 N12'
_space_group_name_H-M_alt 'C 1 2/m 1'
_space_group_IT_number 12
_space_group_name_Hall '-C 2y'
_cell_length_a 11.294
_cell_length_b 4.134
_cell_length_c 6.585
_cell_angle_alpha 90.00
_cell_angle_beta 92.98
_cell_angle_gamma 90.00
loop_
_atom_site_label
_atom_site_fract_x
_atom_site_fract_y
_atom_site_fract_z
_atom_site_occupancy
Ag1 0.000 0.000 0.000 1
Mo1 0.101 0.500 0.376 1
Mo2 0.127 0.000 0.670 1
Mo3 0.227 0.000 0.187 1
N1 0.076 0.000 0.353 1
N2 0.089 0.500 0.694 1
N3 0.227 0.500 0.126 1
```

Output
Raw total energy   -9.134 eV/atom

Record 5
Material: PrOsNO
Method: DFT, GGA-PBE
State: relaxed

The structure in CIF format:
```
data_PrOsNO
_chemical_formula_sum 'Pr2 Os2 N2 O2'
_space_group_name_H-M_alt 'P 4/n m m'
_space_group_IT_number 129
_cell_length_a 3.862
_cell_length_b 3.862
_cell_length_c 8.022
_cell_angle_alpha 90.00
_cell_angle_beta 90.00
_cell_angle_gamma 90.00
loop_
_space_group_symop_operation_xyz
'x,y,z'
'-x,-y,-z'
'-y+1/2,x,z'
'y+1/2,-x,-z'
'-x+1/2,-y+1/2,z'
'x+1/2,y+1/2,-z'
'y,-x+1/2,z'
'-y,x+1/2,-z'
'x+1/2,-y,-z'
'-x+1/2,y,z'
'-y,-x,-z'
'y,x,z'
'-x,y+1/2,-z'
'x,-y+1/2,z'
'y+1/2,x+1/2,-z'
'-y+1/2,-x+1/2,z'
loop_
_atom_site_label
_atom_site_fract_x
_atom_site_fract_y
_atom_site_fract_z
_atom_site_occupancy
Pr1 0.250 0.250 0.159 1
Os1 0.250 0.750 0.500 1
N1 0.250 0.250 0.616 1
O1 0.250 0.750 0.000 1
```

Output
Energy above the most stable polymorph in this dataset   201 meV per atom

Record 6
Material: LiScAsAu
Method: DFT, GGA-PBE
State: relaxed

The structure in CIF format:
```
data_LiScAsAu
_chemical_formula_sum 'Li4 Sc4 As4 Au4'
_space_group_name_H-M_alt 'F -4 3 m'
_space_group_IT_number 216
_space_group_name_Hall 'F -4 2 3'
_cell_length_a 6.628
_cell_length_b 6.628
_cell_length_c 6.628
_cell_angle_alpha 90.00
_cell_angle_beta 90.00
_cell_angle_gamma 90.00
loop_
_atom_site_label
_atom_site_fract_x
_atom_site_fract_y
_atom_site_fract_z
_atom_site_occupancy
Li1 0.000 0.000 0.000 1
Sc1 0.250 0.250 0.750 1
As1 0.250 0.250 0.250 1
Au1 0.000 0.000 0.500 1
```

Output
Energy above the most stable polymorph in this dataset   388 meV per atom

Record 7
Material: HoBeGa
Method: DFT, GGA-PBE
State: relaxed

The structure in CIF format:
```
data_HoBeGa
_chemical_formula_sum 'Ho4 Be4 Ga4'
_space_group_name_H-M_alt 'F -4 3 m'
_space_group_IT_number 216
_space_group_name_Hall 'F -4 2 3'
_cell_length_a 6.107
_cell_length_b 6.107
_cell_length_c 6.107
_cell_angle_alpha 90.00
_cell_angle_beta 90.00
_cell_angle_gamma 90.00
loop_
_atom_site_label
_atom_site_fract_x
_atom_site_fract_y
_atom_site_fract_z
_atom_site_occupancy
Ho1 0.000 0.000 0.000 1
Be1 0.250 0.250 0.750 1
Ga1 0.000 0.000 0.500 1
```

Output
Energy above the most stable polymorph in this dataset   0 meV per atom

Record 8
Material: SmNbH4
Method: DFT, GGA-PBE
State: relaxed

The structure in CIF format:
```
data_SmNbH4
_chemical_formula_sum 'Sm1 Nb1 H4'
_space_group_name_H-M_alt 'P 4/m m m'
_space_group_IT_number 123
_space_group_name_Hall '-P 4 2'
_cell_length_a 3.465
_cell_length_b 3.465
_cell_length_c 4.926
_cell_angle_alpha 90.00
_cell_angle_beta 90.00
_cell_angle_gamma 90.00
loop_
_atom_site_label
_atom_site_fract_x
_atom_site_fract_y
_atom_site_fract_z
_atom_site_occupancy
Sm1 0.000 0.000 0.000 1
Nb1 0.500 0.500 0.500 1
H1 0.000 0.500 0.296 1
```

Output
Raw total energy   -5.092 eV/atom

| no. | calculated volume (Å³/f.u.) |
| --- | --- |
| 1 | 185.3 |
| 2 | 190.3 |
| 3 | 84.5 |
| 4 | 153.5 |
| 5 | 59.8 |
| 6 | 72.8 |
| 7 | 56.9 |
| 8 | 59.1 |